Crystalline Tm2Ga6Ni3 at its relaxed geometry. Source: Alexandria via LeMat-Bulk, functional GGA-PBE.

a = 4.017 Å, b = 7.366 Å, c = 7.366 Å
α = 120.00°, β = 90.00°, γ = 90.00°
Atoms (fractional coordinates):
Ni 0.500 0.630 0.000
Tm 0.000 0.667 0.333
Tm 0.000 0.333 0.667
Ga 0.500 0.308 0.000
Ni 0.500 0.370 0.370
Ga 0.000 0.204 0.204
Ga 0.000 0.796 0.000
Ni 0.500 0.000 0.630
Ga 0.500 0.000 0.308
Ga 0.000 0.000 0.796
Ga 0.500 0.692 0.692

Calculated formation energy ... -5.514 eV per formula unit
Space-group type ... P-62m, No. 189